The following is a DFT calculation (PBE) of a geometry-optimized Rb3AlTe4 structure.

It has space group Imm2 (No. 44), with a = 6.107 Å, b = 15.514 Å, c = 7.843 Å, α = 90.00°, β = 90.00° and γ = 90.00°. Symmetry generates all atoms from Rb at (0.000, 0.000, 0.000), Rb at (0.000, 0.285, 0.847), Al at (0.000, 0.500, 0.218), Te at (0.000, 0.355, 0.378) and Te at (0.244, 0.000, 0.439).

***

The following is a DFT calculation (PBE) of a geometry-optimized RbAl2Te structure.

It has space group I-42d (No. 122), with a = 8.860 Å, b = 8.860 Å, c = 6.817 Å, α = 90.00°, β = 90.00° and γ = 90.00°. Symmetry generates all atoms from Rb at (0.000, 0.000, 0.000), Al at (0.200, 0.250, 0.625) and Te at (0.000, 0.000, 0.500).

***

The following is a DFT calculation (PBE) of a geometry-optimized RbAl3Te structure.

It has space group Pm-3m (No. 221), with a = 6.014 Å, b = 6.014 Å, c = 6.014 Å, α = 90.00°, β = 90.00° and γ = 90.00°. Symmetry generates all atoms from Rb at (0.000, 0.000, 0.000), Al at (0.000, 0.000, 0.500) and Te at (0.500, 0.500, 0.500).

***

The following is a DFT calculation (PBE) of a geometry-optimized Rb2AlTe structure.

It has space group I-42d (No. 122), with a = 5.474 Å, b = 5.474 Å, c = 24.199 Å, α = 90.00°, β = 90.00° and γ = 90.00°. Symmetry generates all atoms from Rb at (0.238, 0.250, 0.125), Al at (0.000, 0.000, 0.500) and Te at (0.000, 0.000, 0.000).

***

The following is a DFT calculation (PBE) of a geometry-optimized RbAl3Te structure.

It has space group Pm-3m (No. 221), with a = 5.743 Å, b = 5.743 Å, c = 5.743 Å, α = 90.00°, β = 90.00° and γ = 90.00°. Symmetry generates all atoms from Rb at (0.000, 0.000, 0.000), Al at (0.000, 0.500, 0.500) and Te at (0.500, 0.500, 0.500).

***

The following is a DFT calculation (PBE) of a geometry-optimized Rb5Al2Te5 structure.

It has space group C2/m (No. 12), with a = 16.207 Å, b = 4.923 Å, c = 12.591 Å, α = 90.00°, β = 100.32° and γ = 90.00°. Symmetry generates all atoms from Rb at (0.000, 0.000, 0.000), Rb at (0.150, 0.000, 0.599), Rb at (0.218, 0.500, 0.125), Al at (0.035, 0.500, 0.297), Te at (0.000, 0.500, 0.500), Te at (0.109, 0.500, 0.842) and Te at (0.119, 0.000, 0.288).

***

no.,final energy (eV/atom),V (A^3/atom)
1,-3.189,46.45
2,-2.778,33.45
3,-1.614,43.50
4,-2.166,45.32
5,-2.412,37.89
6,-3.118,41.18